(1)
First-principles (GGA-PBE) data for a geometry-optimized DyHoNp2P4 structure, as listed in Alexandria.

abc: 3.972 6.880 6.881
angles: 109.46 90.00 90.00
Each line ends with the local moment (μB).
Positions (direct):
Np: 0.500 0.000 0.500  3.54
Np: 0.000 0.500 0.500  3.53
Ho: 0.500 0.500 0.000  0.01
P: 0.500 0.747 0.744  -0.08
P: 0.000 0.249 0.744  -0.08
P: 0.000 0.751 0.256  -0.08
P: 0.500 0.253 0.256  -0.08
Dy: 0.000 0.000 0.000  0.01

## Properties
Density of states at the Fermi level   16.72 states/eV/f.u.
Total magnetic moment   7.31 μB/f.u.
Calculated total energy   -8.326 eV/atom

***

(2)
First-principles (GGA-PBE) data for a geometry-optimized Na2LiCd3Bi4 structure, as listed in Alexandria.

abc: 4.949 4.949 12.774
angles: 90.00 90.00 90.00
Positions (direct):
Bi: 0.000 0.500 0.369
Bi: 0.500 0.500 0.000
Bi: 0.500 0.000 0.631
Bi: 0.000 0.000 0.000
Na: 0.500 0.000 0.281
Na: 0.000 0.500 0.719
Cd: 0.500 0.000 0.855
Cd: 0.000 0.000 0.500
Cd: 0.000 0.500 0.145
Li: 0.500 0.500 0.500

## Properties
Density of states at the Fermi level   2.09 states/eV/f.u.
Total magnetic moment   0.00 μB/f.u.
Calculated total energy   -2.460 eV/atom

***

(3)
First-principles (GGA-PBE) data for a geometry-optimized Zr2CuAu structure, as listed in Alexandria.

abc: 5.090 5.090 5.061
angles: 129.94 129.94 73.93
Positions (direct):
Zr: 0.000 0.000 0.000
Zr: 0.500 0.500 0.000
Cu: 0.250 0.750 0.500
Au: 0.750 0.250 0.500

## Properties
Density of states at the Fermi level   4.16 states/eV/f.u.
Total magnetic moment   0.00 μB/f.u.
Calculated total energy   -6.390 eV/atom

***

(4)
First-principles (GGA-PBE) data for a geometry-optimized BaGe3F12 structure, as listed in Alexandria.

abc: 7.444 8.876 8.876
angles: 120.00 90.00 90.00
Positions (direct):
F: 0.557 0.584 0.818
F: 0.443 0.766 0.584
F: 0.250 0.122 0.931
F: 0.250 0.423 0.432
F: 0.057 0.416 0.182
F: 0.750 0.577 0.568
F: 0.557 0.182 0.766
F: 0.943 0.182 0.766
F: 0.057 0.766 0.584
F: 0.750 0.878 0.069
F: 0.750 0.432 0.008
F: 0.943 0.234 0.416
F: 0.250 0.008 0.577
F: 0.443 0.818 0.234
F: 0.250 0.568 0.992
F: 0.750 0.992 0.423
F: 0.250 0.069 0.191
F: 0.750 0.931 0.809
F: 0.250 0.809 0.878
F: 0.443 0.416 0.182
F: 0.943 0.584 0.818
F: 0.750 0.191 0.122
F: 0.557 0.234 0.416
F: 0.057 0.818 0.234
Ge: 0.750 0.194 0.893
Ge: 0.250 0.893 0.699
Ge: 0.750 0.107 0.301
Ge: 0.250 0.301 0.194
Ge: 0.250 0.806 0.107
Ge: 0.750 0.699 0.806
Ba: 0.750 0.667 0.333
Ba: 0.250 0.333 0.667

## Properties
Total magnetic moment   0.00 μB/f.u.
Calculated total energy   -4.889 eV/atom
Uncorrected formation energy   -2.50 eV/atom

***

(5)
First-principles (GGA-PBE) data for a geometry-optimized Sr2HfTl3Te6 structure, as listed in Alexandria.

abc: 8.028 8.028 8.224
angles: 99.63 99.63 119.88
Positions (direct):
Tl: 0.170 0.830 0.500
Tl: 0.830 0.170 0.500
Tl: 0.500 0.500 0.500
Te: 0.926 0.629 0.782
Te: 0.629 0.926 0.782
Te: 0.219 0.219 0.774
Te: 0.781 0.781 0.226
Te: 0.371 0.074 0.218
Te: 0.074 0.371 0.218
Sr: 0.336 0.664 0.000
Sr: 0.664 0.336 0.000
Hf: 0.000 0.000 0.000

## Properties
Density of states at the Fermi level   5.08 states/eV/f.u.
Total magnetic moment   0.00 μB/f.u.
Calculated total energy   -4.141 eV/atom
Uncorrected formation energy   -0.87 eV/atom

***

(6)
First-principles (GGA-PBE) data for a geometry-optimized LiSnPb2 structure, as listed in Alexandria.

abc: 5.085 5.085 5.861
angles: 64.29 64.29 60.00
Positions (direct):
Pb: 0.265 0.265 0.206
Pb: 0.048 0.048 0.857
Sn: 0.490 0.490 0.529
Li: 0.697 0.697 0.909

## Properties
Density of states at the Fermi level   2.56 states/eV/f.u.
Total magnetic moment   0.00 μB/f.u.
Calculated total energy   -3.374 eV/atom

***

(7)
First-principles (GGA-PBE) data for a geometry-optimized La2ZnCu structure, as listed in Alexandria.

abc: 3.545 3.545 8.045
angles: 90.00 90.00 89.99
Positions (direct):
La: 0.000 0.000 0.939
La: 0.500 0.500 0.307
Zn: 0.000 0.000 0.556
Cu: 0.500 0.500 0.698

## Properties
Density of states at the Fermi level   4.00 states/eV/f.u.
Total magnetic moment   0.00 μB/f.u.
Calculated total energy   -3.862 eV/atom

***

(8)
First-principles (GGA-PBE) data for a geometry-optimized La2Pm3Sm structure, as listed in Alexandria.

abc: 5.841 10.076 7.133
angles: 90.00 90.00 90.00
Positions (direct):
Pm: 0.500 0.167 0.250
Pm: 0.000 0.667 0.250
Pm: 0.500 0.833 0.750
Pm: 0.000 0.333 0.750
Pm: 0.000 0.000 0.000
Pm: 0.500 0.500 0.500
La: 0.500 0.168 0.750
La: 0.000 0.332 0.250
La: 0.500 0.832 0.250
La: 0.000 0.668 0.750
Sm: 0.000 0.000 0.500
Sm: 0.500 0.500 0.000

## Properties
Density of states at the Fermi level   8.78 states/eV/f.u.
Total magnetic moment   0.00 μB/f.u.
Calculated total energy   -4.748 eV/atom

***

(9)
First-principles (GGA-PBE) data for a geometry-optimized Ca3YHg4 structure, as listed in Alexandria.

abc: 3.772 3.772 15.070
angles: 90.00 90.00 90.00
Positions (direct):
Ca: 0.500 0.500 0.500
Ca: 0.500 0.500 0.248
Ca: 0.500 0.500 0.752
Hg: 0.000 0.000 0.882
Hg: 0.000 0.000 0.374
Hg: 0.000 0.000 0.118
Hg: 0.000 0.000 0.626
Y: 0.500 0.500 0.000

## Properties
Density of states at the Fermi level   6.41 states/eV/f.u.
Total magnetic moment   0.00 μB/f.u.
Calculated total energy   -2.251 eV/atom

***

(10)
First-principles (GGA-PBE) data for a geometry-optimized Tb2DyEr4Mg structure, as listed in Alexandria.

abc: 3.651 6.304 11.422
angles: 99.98 80.80 73.17
Positions (direct):
Dy: 0.500 0.500 0.500
Tb: 0.249 0.274 0.228
Tb: 0.751 0.726 0.772
Er: 0.609 0.672 0.110
Er: 0.391 0.328 0.890
Er: 0.870 0.893 0.368
Er: 0.130 0.107 0.632
Mg: 0.000 0.000 0.000

## Properties
Density of states at the Fermi level   10.14 states/eV/f.u.
Total magnetic moment   0.00 μB/f.u.
Calculated total energy   -4.197 eV/atom

***

(11)
First-principles (GGA-PBE) data for a geometry-optimized LaMgRe structure, as listed in Alexandria.

abc: 5.935 5.935 5.935
angles: 151.26 138.03 51.67
Positions (direct):
Re: 0.312 0.312 0.000
La: 0.989 0.989 0.000
Mg: 0.699 0.699 0.000

## Properties
Density of states at the Fermi level   3.38 states/eV/f.u.
Total magnetic moment   0.00 μB/f.u.
Calculated total energy   -5.827 eV/atom

***

(12)
First-principles (GGA-PBE) data for a geometry-optimized La4NdSe5 structure, as listed in Alexandria.

abc: 4.295 4.295 15.520
angles: 97.95 97.95 90.00
Positions (direct):
Se: 0.500 0.500 0.000
Se: 0.301 0.301 0.601
Se: 0.699 0.699 0.399
Se: 0.099 0.099 0.198
Se: 0.901 0.901 0.802
La: 0.401 0.401 0.802
La: 0.200 0.200 0.401
La: 0.800 0.800 0.599
La: 0.599 0.599 0.198
Nd: 0.000 0.000 0.000

## Properties
Density of states at the Fermi level   5.99 states/eV/f.u.
Total magnetic moment   0.00 μB/f.u.
Calculated total energy   -6.156 eV/atom
Uncorrected formation energy   -1.97 eV/atom